1.
# La2TaH

La2TaH after structural relaxation (PBE, Alexandria).

a = 9.559 Å, b = 9.559 Å, c = 9.559 Å
α = 19.35°, β = 19.35°, γ = 19.35°
Fractional coordinates of all 4 atoms:
La (0.106, 0.106, 0.106)
La (0.894, 0.894, 0.894)
Ta (0.000, 0.000, 0.000)
H (0.500, 0.500, 0.500)

Computed properties:
- Energy relative to the lowest polymorph listed for this composition: 0.000 eV/f.u.
- Raw total energy: -5.858 eV per atom

=====

2.
# LaTaH3

LaTaH3 after structural relaxation (PBE, Alexandria).

a = 4.130 Å, b = 4.130 Å, c = 4.130 Å
α = 90.00°, β = 90.00°, γ = 90.00°
Fractional coordinates of all 5 atoms:
La (0.000, 0.000, 0.000)
Ta (0.500, 0.500, 0.500)
H (0.000, 0.000, 0.500)
H (0.000, 0.500, 0.000)
H (0.500, 0.000, 0.000)

Computed properties:
- Energy relative to the lowest polymorph listed for this composition: 4.870 eV/f.u.
- Raw total energy: -4.536 eV per atom

=====

3.
# La2TaTeH

La2TaTeH after structural relaxation (PBE, Alexandria).

a = 5.751 Å, b = 5.751 Å, c = 3.792 Å
α = 90.00°, β = 90.00°, γ = 90.00°
Fractional coordinates of all 5 atoms:
La (0.000, 0.500, 0.000)
La (0.500, 0.000, 0.000)
Ta (0.000, 0.000, 0.000)
Te (0.500, 0.500, 0.500)
H (0.000, 0.000, 0.500)

Computed properties:
- Raw total energy: -5.701 eV per atom

=====

- Which formula does entry 3 have?
  La2TaTeH